Entry from the Alexandria database: a relaxed structure of Li3PdC (PBE).

abc: 3.982 3.982 3.982
angles: 90.00 90.00 90.00
Element x y z (fractional)
Li: 0.000 0.000 0.500
Li: 0.000 0.500 0.000
Li: 0.500 0.000 0.000
Pd: 0.500 0.500 0.500
C: 0.000 0.000 0.000

As for the space group: No. 221. The density is 3.664 g/cm3. For the energy relative to the elements, the calculation gives 0.464 eV per atom. The distance to the lowest polymorph of the same formula is 0 meV/atom. The total magnetic moment comes out at 0.17 μB/atom.